Below is crystalline YTcAs2Se at its relaxed geometry, with properties calculated at the PBE-GGA level.

Cell lengths 5.3413, 5.3413, 5.2583 Å; angles 90.00, 90.00, 90.00 degrees
Element x y z (fractional)
1 As 0.5000 0.0000 0.0000
2 As 0.0000 0.5000 0.0000
3 Se 0.0000 0.0000 0.5000
4 Y 0.0000 0.0000 0.0000
5 Tc 0.5000 0.5000 0.5000

Properties
The value obtained for the energy is -4.751 eV/atom. As for the space group: No. 123.